# TmZn2Co2Si

TmZn2Co2Si after structural relaxation (PBE-GGA, Alexandria via LeMat-Bulk).

Summary:
DFT total energy: -4.62 eV/atom
Volume: 97.80 Å³/cell
Formation energy from raw total energies: -175 meV/atom

Cell lengths 4.2141, 4.2141, 5.5071 Å; angles 90.00, 90.00, 90.00 degrees
With the nearest neighbours (Å) after each atom.
Fractional coordinates of all 6 atoms:
Zn: 0.5000 0.5000 0.2681  1 Zn 2.55, 4 Co 2.57
Tm: 0.0000 0.0000 0.5000  2 Si 2.75
Co: 0.5000 0.0000 0.0000  2 Si 2.11
Zn: 0.5000 0.5000 0.7319  1 Zn 2.55, 4 Co 2.57
Si: 0.0000 0.0000 0.0000  4 Co 2.11
Co: 0.0000 0.5000 0.0000  2 Si 2.11